Entry 1:
First-principles (GGA-PBE) data for a relaxed Sm4OsO10 crystal, as listed in Alexandria.

Results
SG: I4/m
Formation energy from raw total energies in meV/atom: -2360
E in eV/f.u.: -115.09

Unit cell a=6.620 b=6.620 c=6.620 alpha=99.87 beta=99.87 gamma=131.09
Element x y z (fractional)
Sm1 0.098 0.304 0.402
Sm2 0.304 0.902 0.206
Sm3 0.696 0.098 0.794
Sm4 0.902 0.696 0.598
Os1 0.500 0.500 0.000
O1 0.103 0.186 0.730
O2 0.186 0.456 0.082
O3 0.250 0.750 0.500
O4 0.373 0.103 0.918
O5 0.456 0.373 0.270
O6 0.544 0.627 0.730
O7 0.627 0.897 0.082
O8 0.750 0.250 0.500
O9 0.814 0.544 0.918
O10 0.897 0.814 0.270


Entry 2:
First-principles (GGA-PBE) data for a relaxed LiYMgPt crystal, as listed in Alexandria.

Results
SG: F-43m
E in eV/f.u.: -18.64

Unit cell a=4.789 b=4.789 c=4.789 alpha=60.00 beta=60.00 gamma=60.00
Element x y z (fractional)
Li1 0.000 0.000 0.000
Y1 0.750 0.750 0.750
Mg1 0.250 0.250 0.250
Pt1 0.500 0.500 0.500


Entry 3:
First-principles (GGA-PBE) data for a relaxed KCo2Ru crystal, as listed in Alexandria.

Results
SG: Cm
ΔE to the lowest computed polymorph in meV per atom: 102
E in eV/f.u.: -21.42

Unit cell a=4.482 b=4.482 c=6.763 alpha=96.45 beta=96.45 gamma=35.14
Element x y z (fractional)
K1 0.000 0.000 0.000
Co1 0.491 0.491 0.497
Co2 0.780 0.780 0.353
Ru1 0.220 0.220 0.628


no.,magnetic moment (μB/atom)
1,0.24
2,0.00
3,0.99